An optimized crystal structure of K2Tb2PaS6. Source: Alexandria, functional GGA-PBE.

The structure belongs to space group C2/m (No. 12); the cell edges are 7.012, 12.107 and 7.894 Å and the angles 90.00°, 107.41° and 90.00°. The inequivalent atoms are K at (0.000, 0.168, 0.000), Tb at (0.000, 0.334, 0.500), Pa at (0.000, 0.000, 0.500), S at (0.229, 0.165, 0.696) and S at (0.240, 0.500, 0.696).

The magnetization is 2.16 Bohr magnetons per cell. The crystal system is monoclinic. The value obtained for the formation energy (no corrections) is -175.4 kJ/mol of atoms. The density of states at the Fermi level is 2.1 states/eV/f.u. As for the density: 4.3 g/cm3.